{"formula": "TmHgBi2O4", "functional": "PBE-GGA", "state": "relaxed", "cell": [[3.8788, 0.0000, 0.0000], [0.0000, 3.8788, 0.0000], [0.0000, 0.0000, 9.6524]], "species": ["Tm", "Hg", "Bi", "Bi", "O", "O", "O", "O"], "fractional_positions": [[0.0000, 0.0000, 0.0000], [0.0000, 0.0000, 0.5000], [0.5000, 0.5000, 0.2598], [0.5000, 0.5000, 0.7402], [0.0000, 0.5000, 0.1399], [0.0000, 0.5000, 0.8601], [0.5000, 0.0000, 0.1399], [0.5000, 0.0000, 0.8601]], "dft_energy_ev_per_atom": -5.74, "raw_formation_energy_ev_per_atom": -1.69}

=====

{"formula": "U3Hg2BiO12", "functional": "PBE-GGA", "state": "relaxed", "cell": [[4.0286, 2.3259, 6.3958], [-4.0286, 2.3259, 6.3958], [0.0000, -4.6518, 6.3958]], "species": ["U", "U", "U", "Hg", "Hg", "Bi", "O", "O", "O", "O", "O", "O", "O", "O", "O", "O", "O", "O"], "fractional_positions": [[0.0000, 0.5000, 0.5000], [0.5000, 0.0000, 0.5000], [0.5000, 0.5000, 0.0000], [0.0743, 0.0743, 0.0743], [0.9257, 0.9257, 0.9257], [0.5000, 0.5000, 0.5000], [0.1818, 0.5603, 0.5603], [0.1924, 0.1924, 0.5646], [0.1924, 0.5646, 0.1924], [0.4354, 0.8076, 0.8076], [0.4397, 0.4397, 0.8182], [0.4397, 0.8182, 0.4397], [0.5603, 0.1818, 0.5603], [0.5603, 0.5603, 0.1818], [0.5646, 0.1924, 0.1924], [0.8076, 0.4354, 0.8076], [0.8076, 0.8076, 0.4354], [0.8182, 0.4397, 0.4397]], "dft_energy_ev_per_atom": -7.59, "raw_formation_energy_ev_per_atom": -2.15}